Here is a geometry-optimized BaCuBi structure from Alexandria via LeMat-Bulk. Energies are from PBE.

It has space group P-1 (No. 2), with a = 4.472 Å, b = 6.260 Å, c = 7.271 Å, α = 80.41°, β = 72.09° and γ = 89.90°. The distinct sites, in fractional coordinates, are Ba at (0.112, 0.298, 0.280), Cu at (0.226, 0.898, 0.048) and Bi at (0.383, 0.234, 0.733).

The calculation puts the density of states at the Fermi level at 1.3 states/eV per cell. For the density, the calculation gives 7.14 Mg/m³. The value obtained for the volume is 95.4 Å³/f.u. The total energy comes out at -3.78 eV/atom. The value obtained for the formation energy is -0.48 eV/atom. As for the crystal system: triclinic.